[1]
The following is a PBEsol calculation of CdTePb2 after structural relaxation, from the Alexandria database.

Its calculated total energy is -3.11 eV per atom. The calculation puts the formation energy without anion corrections at 0.067 eV per atom.

The structure in CIF format:
```
data_CdTePb2
_symmetry_space_group_name_H-M 'C m m m'
_symmetry_Int_Tables_number 65
_symmetry_space_group_name_Hall '-C 2 2'
_cell_length_a 3.780
_cell_length_b 5.305
_cell_length_c 10.919
_cell_angle_alpha 90.00
_cell_angle_beta 90.00
_cell_angle_gamma 90.00
loop_
_atom_site_label
_atom_site_type_symbol
_atom_site_fract_x
_atom_site_fract_y
_atom_site_fract_z
Cd1 Cd 0.000 0.000 0.000
Te1 Te 0.000 0.000 0.500
Pb1 Pb 0.000 0.500 0.234
```

***

[2]
The following is a PBEsol calculation of TeP after structural relaxation, from the Alexandria database.

Its calculated total energy is -4.23 eV per atom. The calculation puts the formation energy without anion corrections at 0.429 eV per atom.

The structure in CIF format:
```
data_TeP
_symmetry_space_group_name_H-M 'C m m e'
_symmetry_Int_Tables_number 67
_symmetry_space_group_name_Hall '-C 2a 2'
_cell_length_a 3.582
_cell_length_b 7.153
_cell_length_c 8.367
_cell_angle_alpha 90.00
_cell_angle_beta 90.00
_cell_angle_gamma 90.00
loop_
_atom_site_label
_atom_site_type_symbol
_atom_site_fract_x
_atom_site_fract_y
_atom_site_fract_z
Te1 Te 0.000 0.250 0.191
P1 P 0.000 0.250 0.599
```

***

[3]
The following is a PBEsol calculation of BaCa2Ag2 after structural relaxation, from the Alexandria database.

Its calculated total energy is -2.79 eV per atom. The formation enthalpy at 0 K is -187 meV/atom.

The structure in CIF format:
```
data_BaCa2Ag2
_symmetry_space_group_name_H-M 'P 4/m b m'
_symmetry_Int_Tables_number 127
_symmetry_space_group_name_Hall '-P 4 2ab'
_cell_length_a 8.381
_cell_length_b 8.381
_cell_length_c 4.308
_cell_angle_alpha 90.00
_cell_angle_beta 90.00
_cell_angle_gamma 90.00
loop_
_atom_site_label
_atom_site_type_symbol
_atom_site_fract_x
_atom_site_fract_y
_atom_site_fract_z
Ba1 Ba 0.000 0.000 0.000
Ca1 Ca 0.159 0.341 0.500
Ag1 Ag 0.120 0.620 0.000
```

***

[4]
The following is a PBEsol calculation of YMg2Cu2 after structural relaxation, from the Alexandria database.

Its calculated total energy is -3.87 eV per atom. The formation enthalpy at 0 K is -86 meV/atom.

The structure in CIF format:
```
data_YMg2Cu2
_symmetry_space_group_name_H-M 'I m m m'
_symmetry_Int_Tables_number 71
_symmetry_space_group_name_Hall '-I 2 2'
_cell_length_a 4.564
_cell_length_b 5.758
_cell_length_c 7.007
_cell_angle_alpha 90.00
_cell_angle_beta 90.00
_cell_angle_gamma 90.00
loop_
_atom_site_label
_atom_site_type_symbol
_atom_site_fract_x
_atom_site_fract_y
_atom_site_fract_z
Y1 Y 0.000 0.000 0.000
Mg1 Mg 0.000 0.500 0.201
Cu1 Cu 0.000 0.202 0.500
```

***

[5]
The following is a PBEsol calculation of Re3TeAs after structural relaxation, from the Alexandria database.

Its calculated total energy is -7.98 eV per atom. The calculation puts the formation energy without anion corrections at 1.741 eV per atom.

The structure in CIF format:
```
data_Re3TeAs
_symmetry_space_group_name_H-M 'P m -3 m'
_symmetry_Int_Tables_number 221
_symmetry_space_group_name_Hall '-P 4 2 3'
_cell_length_a 4.566
_cell_length_b 4.566
_cell_length_c 4.566
_cell_angle_alpha 90.00
_cell_angle_beta 90.00
_cell_angle_gamma 90.00
loop_
_atom_site_label
_atom_site_type_symbol
_atom_site_fract_x
_atom_site_fract_y
_atom_site_fract_z
Re1 Re 0.000 0.000 0.500
Te1 Te 0.500 0.500 0.500
As1 As 0.000 0.000 0.000
```

***

[6]
The following is a PBEsol calculation of ZnCuRh2 after structural relaxation, from the Alexandria database.

Its calculated total energy is -5.63 eV per atom. The formation enthalpy at 0 K is -84 meV/atom.

The structure in CIF format:
```
data_ZnCuRh2
_symmetry_space_group_name_H-M 'C 1 2/m 1'
_symmetry_Int_Tables_number 12
_cell_length_a 4.652
_cell_length_b 2.684
_cell_length_c 8.476
_cell_angle_alpha 90.00
_cell_angle_beta 100.45
_cell_angle_gamma 90.00
loop_
_symmetry_equiv_pos_as_xyz
'x,y,z'
'-x,-y,-z'
'-x,y,-z'
'x,-y,z'
'x+1/2,y+1/2,z'
'-x+1/2,-y+1/2,-z'
'-x+1/2,y+1/2,-z'
'x+1/2,-y+1/2,z'
loop_
_atom_site_label
_atom_site_type_symbol
_atom_site_fract_x
_atom_site_fract_y
_atom_site_fract_z
Zn1 Zn 0.000 0.000 0.000
Cu1 Cu 0.000 0.500 0.500
Rh1 Rh 0.250 0.000 0.750
```

***

[7]
The following is a PBEsol calculation of TlTc2Ru after structural relaxation, from the Alexandria database.

Its calculated total energy is -8.16 eV per atom. The formation enthalpy at 0 K is 678 meV/atom.

The structure in CIF format:
```
data_TlTc2Ru
_symmetry_space_group_name_H-M 'C m m 2'
_symmetry_Int_Tables_number 35
_cell_length_a 2.925
_cell_length_b 4.775
_cell_length_c 9.114
_cell_angle_alpha 90.00
_cell_angle_beta 90.00
_cell_angle_gamma 90.00
loop_
_symmetry_equiv_pos_as_xyz
'x,y,z'
'-x,-y,z'
'-x,y,z'
'x,-y,z'
'x+1/2,y+1/2,z'
'-x+1/2,-y+1/2,z'
'-x+1/2,y+1/2,z'
'x+1/2,-y+1/2,z'
loop_
_atom_site_label
_atom_site_type_symbol
_atom_site_fract_x
_atom_site_fract_y
_atom_site_fract_z
Tl1 Tl 0.000 0.000 0.000
Tc1 Tc 0.000 0.000 0.502
Tc2 Tc 0.000 0.500 0.274
Ru1 Ru 0.000 0.500 0.736
```

***

[8]
The following is a PBEsol calculation of Al2Co2Hg after structural relaxation, from the Alexandria database.

Its calculated total energy is -5.06 eV per atom. The formation enthalpy at 0 K is -215 meV/atom.

The structure in CIF format:
```
data_Al2Co2Hg
_symmetry_space_group_name_H-M 'P 4/m b m'
_symmetry_Int_Tables_number 127
_symmetry_space_group_name_Hall '-P 4 2ab'
_cell_length_a 6.897
_cell_length_b 6.897
_cell_length_c 2.834
_cell_angle_alpha 90.00
_cell_angle_beta 90.00
_cell_angle_gamma 90.00
loop_
_atom_site_label
_atom_site_type_symbol
_atom_site_fract_x
_atom_site_fract_y
_atom_site_fract_z
Al1 Al 0.147 0.353 0.000
Co1 Co 0.145 0.645 0.500
Hg1 Hg 0.000 0.000 0.500
```

***

[9]
The following is a PBEsol calculation of YNbGe3 after structural relaxation, from the Alexandria database.

Its calculated total energy is -6.46 eV per atom. The formation enthalpy at 0 K is 32 meV/atom.

The structure in CIF format:
```
data_YNbGe3
_symmetry_space_group_name_H-M 'P m -3 m'
_symmetry_Int_Tables_number 221
_symmetry_space_group_name_Hall '-P 4 2 3'
_cell_length_a 4.892
_cell_length_b 4.892
_cell_length_c 4.892
_cell_angle_alpha 90.00
_cell_angle_beta 90.00
_cell_angle_gamma 90.00
loop_
_atom_site_label
_atom_site_type_symbol
_atom_site_fract_x
_atom_site_fract_y
_atom_site_fract_z
Y1 Y 0.000 0.000 0.000
Nb1 Nb 0.500 0.500 0.500
Ge1 Ge 0.000 0.500 0.500
```

***

[10]
The following is a PBEsol calculation of LiTaF6 after structural relaxation, from the Alexandria database.

Its calculated total energy is -6.52 eV per atom. The calculation puts the formation energy without anion corrections at -3.256 eV per atom.

The structure in CIF format:
```
data_LiTaF6
_symmetry_space_group_name_H-M 'F m -3 m'
_symmetry_Int_Tables_number 225
_symmetry_space_group_name_Hall '-F 4 2 3'
_cell_length_a 7.834
_cell_length_b 7.834
_cell_length_c 7.834
_cell_angle_alpha 90.00
_cell_angle_beta 90.00
_cell_angle_gamma 90.00
loop_
_atom_site_label
_atom_site_type_symbol
_atom_site_fract_x
_atom_site_fract_y
_atom_site_fract_z
Li1 Li 0.000 0.000 0.000
Ta1 Ta 0.000 0.000 0.500
F1 F 0.000 0.000 0.256
```

***

[11]
The following is a PBEsol calculation of ZnOsW2 after structural relaxation, from the Alexandria database.

Its calculated total energy is -10.16 eV per atom. The formation enthalpy at 0 K is 188 meV/atom.

The structure in CIF format:
```
data_ZnOsW2
_symmetry_space_group_name_H-M 'P 1 m 1'
_symmetry_Int_Tables_number 6
_cell_length_a 2.774
_cell_length_b 4.407
_cell_length_c 4.800
_cell_angle_alpha 90.00
_cell_angle_beta 93.52
_cell_angle_gamma 90.00
loop_
_symmetry_equiv_pos_as_xyz
'x,y,z'
'x,-y,z'
loop_
_atom_site_label
_atom_site_type_symbol
_atom_site_fract_x
_atom_site_fract_y
_atom_site_fract_z
Zn1 Zn 0.000 0.000 0.000
Os1 Os 0.995 0.500 0.317
W1 W 0.463 0.500 0.827
W2 W 0.540 0.000 0.500
```

***

[12]
The following is a PBEsol calculation of YScIn2Hg after structural relaxation, from the Alexandria database.

Its calculated total energy is -3.34 eV per atom. The formation enthalpy at 0 K is 650 meV/atom.

The structure in CIF format:
```
data_YScIn2Hg
_symmetry_space_group_name_H-M 'P 4/m m m'
_symmetry_Int_Tables_number 123
_symmetry_space_group_name_Hall '-P 4 2'
_cell_length_a 5.531
_cell_length_b 5.531
_cell_length_c 5.386
_cell_angle_alpha 90.00
_cell_angle_beta 90.00
_cell_angle_gamma 90.00
loop_
_atom_site_label
_atom_site_type_symbol
_atom_site_fract_x
_atom_site_fract_y
_atom_site_fract_z
Y1 Y 0.000 0.000 0.000
Sc1 Sc 0.500 0.500 0.500
In1 In 0.000 0.500 0.000
Hg1 Hg 0.000 0.000 0.500
```